Entry 1:
Material: NaTa3Mn
Method: DFT, meta-GGA SCAN
State: PBEsol geometry

## Properties
Space group: No. 221
Calculated volume, Å³/f.u.: 99
VASP energy, eV per atom: -43.43
Total magnetic moment, μB/cell: 0.00
ρ, g/cm³: 10.5
Energy relative to the elements, eV per atom: 1.01

abc: 4.6204 4.6204 4.6204
angles: 90.00 90.00 90.00
Last column: nearest neighbours and their distance in Å.
Fractional coordinates of all 5 atoms:
Na  0.5000  0.5000  0.5000  12 Ta 3.27
Mn  0.0000  0.0000  0.0000  6 Ta 2.31
Ta  0.0000  0.5000  0.0000  2 Mn 2.31
Ta  0.0000  0.0000  0.5000  2 Mn 2.31
Ta  0.5000  0.0000  0.0000  2 Mn 2.31

Entry 2:
Material: Na2MnTcW
Method: DFT, meta-GGA SCAN
State: PBEsol geometry

## Properties
Space group: No. 123
Calculated volume, Å³/f.u.: 113
VASP energy, eV per atom: -24.05
Total magnetic moment, μB/cell: 5.92
ρ, g/cm³: 5.6
Energy relative to the elements, eV per atom: 2.24

abc: 4.2170 5.1678 5.1678
angles: 90.00 90.00 90.00
Last column: nearest neighbours and their distance in Å.
Fractional coordinates of all 5 atoms:
Na  0.0000  0.0000  0.5000  2 Tc 2.58
Na  0.0000  0.5000  0.0000  2 Tc 2.58
Mn  0.5000  0.0000  0.0000  2 Tc 2.11
Tc  0.0000  0.0000  0.0000  2 Mn 2.11
W  0.5000  0.5000  0.5000  8 Na 3.33, 4 Mn 3.65